First-principles (PBE) data for a relaxed Pm5PaCo4 crystal, as listed in Alexandria via LeMat-Bulk.

DFT formation energy   -0.176 eV per atom
Space group   C2/m, No. 12
Magnetization   0.00 μB per cell

a = 8.969 Å, b = 8.969 Å, c = 7.180 Å
α = 111.66°, β = 111.66°, γ = 26.95°
Atoms (fractional coordinates):
Pm  0.000  0.000  0.000
Pm  0.323  0.323  0.944
Pm  0.339  0.339  0.456
Pm  0.661  0.661  0.544
Pm  0.677  0.677  0.056
Pa  0.000  0.000  0.500
Co  0.136  0.136  0.782
Co  0.483  0.483  0.290
Co  0.517  0.517  0.710
Co  0.864  0.864  0.218

First-principles (PBE) data for a relaxed Pm3PaCo8 crystal, as listed in Alexandria via LeMat-Bulk.

DFT formation energy   -0.111 eV per atom
Space group   R3m, No. 160
Magnetization   1.28 μB per cell

a = 8.862 Å, b = 8.862 Å, c = 8.862 Å
α = 33.07°, β = 33.07°, γ = 33.07°
Atoms (fractional coordinates):
Pm  0.000  0.000  0.000
Pm  0.125  0.125  0.125
Pm  0.497  0.497  0.497
Pa  0.620  0.620  0.620
Co  0.053  0.562  0.562
Co  0.062  0.062  0.568
Co  0.062  0.568  0.062
Co  0.311  0.311  0.311
Co  0.562  0.053  0.562
Co  0.562  0.562  0.053
Co  0.568  0.062  0.062
Co  0.811  0.811  0.811

First-principles (PBE) data for a relaxed Pm4PaCo5 crystal, as listed in Alexandria via LeMat-Bulk.

DFT formation energy   -0.016 eV per atom
Space group   I4mm, No. 107
Magnetization   0.00 μB per cell

a = 6.983 Å, b = 6.983 Å, c = 6.983 Å
α = 97.10°, β = 97.10°, γ = 138.85°
Atoms (fractional coordinates):
Pm  0.000  0.287  0.287
Pm  0.000  0.713  0.713
Pm  0.287  0.000  0.287
Pm  0.713  0.000  0.713
Pa  0.595  0.595  0.000
Co  0.115  0.115  0.000
Co  0.300  0.300  0.640
Co  0.300  0.661  0.000
Co  0.661  0.300  0.000
Co  0.661  0.661  0.360

First-principles (PBE) data for a relaxed PmPaCoPt crystal, as listed in Alexandria via LeMat-Bulk.

DFT formation energy   -0.388 eV per atom
Space group   F-43m, No. 216
Magnetization   0.03 μB per cell

a = 4.906 Å, b = 4.906 Å, c = 4.906 Å
α = 60.00°, β = 60.00°, γ = 60.00°
Atoms (fractional coordinates):
Pm  0.000  0.000  0.000
Pa  0.500  0.500  0.500
Co  0.750  0.750  0.750
Pt  0.250  0.250  0.250

First-principles (PBE) data for a relaxed PmPaCoRu crystal, as listed in Alexandria via LeMat-Bulk.

DFT formation energy   -0.121 eV per atom
Space group   F-43m, No. 216
Magnetization   0.00 μB per cell

a = 4.831 Å, b = 4.831 Å, c = 4.831 Å
α = 60.00°, β = 60.00°, γ = 60.00°
Atoms (fractional coordinates):
Pm  0.000  0.000  0.000
Pa  0.500  0.500  0.500
Co  0.250  0.250  0.250
Ru  0.750  0.750  0.750

First-principles (PBE) data for a relaxed PmPaCoS4 crystal, as listed in Alexandria via LeMat-Bulk.

Space group   P2_1/m, No. 11
Total DFT energy (no corrections)   -95.86 eV for the cell shown
Magnetization   0.00 μB per cell

a = 6.358 Å, b = 5.721 Å, c = 7.780 Å
α = 90.00°, β = 105.94°, γ = 90.00°
Atoms (fractional coordinates):
Pm  0.238  0.250  0.437
Pm  0.762  0.750  0.563
Pa  0.251  0.250  0.943
Pa  0.749  0.750  0.057
Co  0.262  0.750  0.164
Co  0.738  0.250  0.836
S  0.073  0.750  0.370
S  0.074  0.750  0.892
S  0.484  0.508  0.751
S  0.484  0.992  0.751
S  0.516  0.008  0.249
S  0.516  0.492  0.249
S  0.926  0.250  0.108
S  0.927  0.250  0.630

First-principles (PBE) data for a relaxed TbPm2PaCo2 crystal, as listed in Alexandria via LeMat-Bulk.

DFT formation energy   -0.193 eV per atom
Space group   Ibam, No. 72
Magnetization   0.00 μB per cell

a = 8.019 Å, b = 8.019 Å, c = 8.019 Å
α = 129.15°, β = 74.10°, γ = 129.99°
Atoms (fractional coordinates):
Tb  0.250  0.250  0.000
Tb  0.750  0.750  0.000
Pm  0.200  0.711  0.911
Pm  0.300  0.211  0.511
Pm  0.700  0.789  0.489
Pm  0.800  0.289  0.089
Pa  0.250  0.750  0.500
Pa  0.750  0.250  0.500
Co  0.086  0.293  0.379
Co  0.414  0.793  0.207
Co  0.586  0.207  0.793
Co  0.914  0.707  0.621

First-principles (PBE) data for a relaxed Pr2PaCo2 crystal, as listed in Alexandria via LeMat-Bulk.

DFT formation energy   -0.233 eV per atom
Space group   C2/c, No. 15
Magnetization   0.00 μB per cell

a = 6.207 Å, b = 6.207 Å, c = 6.901 Å
α = 98.31°, β = 98.31°, γ = 61.72°
Atoms (fractional coordinates):
Pr  0.048  0.256  0.144
Pr  0.256  0.048  0.644
Pr  0.744  0.952  0.356
Pr  0.952  0.744  0.856
Pa  0.434  0.566  0.250
Pa  0.566  0.434  0.750
Co  0.213  0.505  0.485
Co  0.495  0.787  0.015
Co  0.505  0.213  0.985
Co  0.787  0.495  0.515